{
  "formula": "V2BrO",
  "functional": "PBE+U",
  "state": "relaxed",
  "lattice": [[-2.841, 2.841, 5.112], [2.841, -2.841, 5.112], [2.841, 2.841, -5.112]],
  "species": ["V", "V", "V", "V", "Br", "Br", "O", "O"],
  "fractional_positions": [[0.005, 0.625, 0.880], [0.375, 0.255, 0.380], [0.745, 0.125, 0.120], [0.875, 0.995, 0.620], [0.250, 0.750, 0.500], [0.500, 0.500, 0.000], [0.000, 0.000, 0.000], [0.750, 0.250, 0.500]],
  "sg": "I-42d (122)",
  "density_g_cm3": 4.0,
  "e_above_lowest_polymorph_ev_per_atom": 0.000,
  "total_magnetization_mub_per_fu": 6.94
}